Record 1
MgCo2P: single point on PBEsol structure, meta-GGA SCAN.

The value obtained for the volume is 11.886 A^3/atom. For the formation energy, the calculation gives -0.038 eV per atom. The total magnetic moment comes out at 3.29 Bohr magnetons per cell. Its crystal system is orthorhombic.

The structure belongs to space group Imm2 (No. 44); the cell edges are 2.8469, 3.8095 and 8.7674 Å and the angles 90.00°, 90.00° and 90.00°. The distinct sites, in fractional coordinates, are Mg at (0.0000, 0.0000, 0.0000), Co at (0.0000, 0.0000, 0.4430), Co at (0.0000, 0.5000, 0.2203) and P at (0.0000, 0.5000, 0.7611).

=====

Record 2
MgCo2P: single point on PBEsol structure, meta-GGA SCAN.

The value obtained for the volume is 12.480 A^3/atom. For the formation energy, the calculation gives -0.017 eV per atom. The total magnetic moment comes out at 1.97 Bohr magnetons per cell. Its crystal system is orthorhombic.

The structure belongs to space group Pmm2 (No. 25); the cell edges are 2.8051, 3.1685 and 5.6167 Å and the angles 90.00°, 90.00° and 90.00°. The distinct sites, in fractional coordinates, are Mg at (0.0000, 0.0000, 0.0000), Co at (0.0000, 0.0000, 0.4802), Co at (0.5000, 0.5000, 0.7241) and P at (0.5000, 0.5000, 0.3315).

=====

Record 3
Mg2CoP: single point on PBEsol structure, meta-GGA SCAN.

The value obtained for the volume is 15.475 A^3/atom. For the formation energy, the calculation gives -0.152 eV per atom. The total magnetic moment comes out at 0.00 Bohr magnetons per cell. Its crystal system is tetragonal.

The structure belongs to space group P4mm (No. 99); the cell edges are 2.9589, 2.9589 and 7.0700 Å and the angles 90.00°, 90.00° and 90.00°. The distinct sites, in fractional coordinates, are Mg at (0.0000, 0.0000, 0.0000), Mg at (0.5000, 0.5000, 0.3429), Co at (0.5000, 0.5000, 0.7335) and P at (0.0000, 0.0000, 0.6103).

=====

Record 4
Mg2Co2P: single point on PBEsol structure, meta-GGA SCAN.

The value obtained for the volume is 13.565 A^3/atom. For the formation energy, the calculation gives -0.214 eV per atom. The total magnetic moment comes out at 0.00 Bohr magnetons per cell. Its crystal system is tetragonal.

The structure belongs to space group P4/mbm (No. 127); the cell edges are 5.6717, 5.6717 and 4.2169 Å and the angles 90.00°, 90.00° and 90.00°. The distinct sites, in fractional coordinates, are Mg at (0.1684, 0.3316, 0.0000), Co at (0.1498, 0.6498, 0.5000) and P at (0.0000, 0.0000, 0.5000).

=====

Record 5
Mg2CoPb2: single point on PBEsol structure, meta-GGA SCAN.

The value obtained for the volume is 25.959 A^3/atom. For the formation energy, the calculation gives 0.519 eV per atom. The total magnetic moment comes out at 4.40 Bohr magnetons per cell. Its crystal system is tetragonal.

The structure belongs to space group I4/mmm (No. 139); the cell edges are 4.2334, 4.2334 and 14.4845 Å and the angles 90.00°, 90.00° and 90.00°. The distinct sites, in fractional coordinates, are Mg at (0.0000, 0.0000, 0.0928), Co at (0.0000, 0.0000, 0.5000) and Pb at (0.0000, 0.5000, 0.2500).

=====

Record 6
Mg2ScCoPb: single point on PBEsol structure, meta-GGA SCAN.

The value obtained for the volume is 21.630 A^3/atom. For the formation energy, the calculation gives 0.019 eV per atom. The total magnetic moment comes out at 0.00 Bohr magnetons per cell. Its crystal system is tetragonal.

The structure belongs to space group P4/mmm (No. 123); the cell edges are 4.8642, 4.8642 and 4.5711 Å and the angles 90.00°, 90.00° and 90.00°. The distinct sites, in fractional coordinates, are Mg at (0.0000, 0.5000, 0.0000), Sc at (0.0000, 0.0000, 0.5000), Co at (0.0000, 0.0000, 0.0000) and Pb at (0.5000, 0.5000, 0.5000).

=====

Look up the volume of the fifth one. 25.959 A^3/atom